<a>
{
  "formula": "Zr2VHRh",
  "functional": "PBE",
  "state": "relaxed",
  "crystal_system": "tetragonal",
  "volume_a3_per_atom": 14.748,
  "lattice": [[4.605, 0.000, 0.000], [0.000, 4.605, 0.000], [0.000, 0.000, 3.478]],
  "species": ["Zr", "Zr", "V", "H", "Rh"],
  "fractional_positions": [[0.000, 0.500, 0.000], [0.500, 0.000, 0.000], [0.000, 0.000, 0.500], [0.000, 0.000, 0.000], [0.500, 0.500, 0.500]]
}

***

<b>
{
  "formula": "Zr2VHRh",
  "functional": "PBE",
  "state": "relaxed",
  "crystal_system": "tetragonal",
  "volume_a3_per_atom": 15.242,
  "lattice": [[4.600, 0.000, 0.000], [0.000, 4.600, 0.000], [0.000, 0.000, 3.601]],
  "species": ["Zr", "Zr", "V", "H", "Rh"],
  "fractional_positions": [[0.000, 0.500, 0.000], [0.500, 0.000, 0.000], [0.000, 0.000, 0.500], [0.500, 0.500, 0.000], [0.500, 0.500, 0.500]]
}

***

Bottom line: <a>, by a margin of 85 meV/atom.